Sr2VFeO5: relaxed, GGA+U.

Cell: 7.0670 7.0670 10.8315 Å, 90.00 90.00 153.01°
Closest atoms and distances in Å follow each position.
Atoms (fractional coordinates):
Sr 0.0970 0.9030 0.5000  6 O 2.46-2.71
Sr 0.1403 0.8597 0.1212  8 O 2.50-2.77
Sr 0.8597 0.1403 0.6212  8 O 2.50-2.77
Sr 0.9030 0.0970 0.0000  6 O 2.46-2.71
V 0.2186 0.7814 0.8454  2 O 1.84-1.99
V 0.7814 0.2186 0.3454  2 O 1.84-1.99
Fe 0.4525 0.5475 0.2760  4 O 1.92-2.14
Fe 0.5475 0.4525 0.7760  4 O 1.92-2.14
O 0.0761 0.9239 0.8799  1 V 1.99, 2 Fe 2.04
O 0.2742 0.7258 0.4679  2 V 2.12
O 0.3012 0.6988 0.2297  2 V 2.09, 1 Fe 2.14
O 0.3514 0.6486 0.8267  1 V 1.84
O 0.4966 0.5034 0.6113  1 Fe 1.92
O 0.5034 0.4966 0.1113  1 Fe 1.92
O 0.6486 0.3514 0.3267  1 V 1.84
O 0.6988 0.3012 0.7297  2 V 2.09, 1 Fe 2.14
O 0.7258 0.2742 0.9679  2 V 2.12
O 0.9239 0.0761 0.3799  1 V 1.99, 2 Fe 2.04

Its electronic total energy is -122.5 eV for the cell shown.